A plane-wave DFT calculation with GGA-PBE was carried out for an optimized crystal structure of HoPH5CO7.

## Properties
Total moment, μB per cell: 0.00
Energy, eV per atom: -6.402
Space group: P-1 (2)
Calculated volume, Å³/cell: 294.6

Geometry as CIF:
```
data_HoPH5CO7
_cell_length_a 6.340
_cell_length_b 6.746
_cell_length_c 7.381
_cell_angle_alpha 110.43
_cell_angle_beta 94.11
_cell_angle_gamma 91.74
_space_group_name_H-M_alt 'P 1'
_space_group_IT_number 1
_space_group_name_Hall 'P 1'
loop_
_atom_site_label
_atom_site_fract_x
_atom_site_fract_y
_atom_site_fract_z
H1 0.167 0.527 0.324
O1 0.822 0.431 0.038
H2 0.528 0.124 0.410
O2 0.848 0.086 0.337
C1 0.058 0.904 0.504
H3 0.288 0.327 0.359
P1 0.662 0.246 0.014
H4 0.408 0.725 0.803
O3 0.950 0.252 0.655
O4 0.794 0.047 0.950
Ho1 0.124 0.225 0.938
O5 0.152 0.914 0.663
O6 0.587 0.801 0.519
C2 0.942 0.096 0.496
H5 0.592 0.275 0.197
P2 0.338 0.754 0.986
O7 0.413 0.199 0.481
H6 0.712 0.673 0.641
H7 0.472 0.876 0.590
O8 0.206 0.953 0.050
O9 0.178 0.569 0.962
O10 0.468 0.229 0.873
O11 0.221 0.384 0.261
Ho2 0.876 0.775 0.062
H8 0.462 0.243 0.620
O12 0.779 0.616 0.739
O13 0.050 0.748 0.345
H9 0.833 0.473 0.676
O14 0.532 0.771 0.127
H10 0.538 0.757 0.380
```

A plane-wave DFT calculation with GGA-PBE was carried out for an optimized crystal structure of YCd2Mo.

## Properties
DFT formation energy, eV/f.u.: 1.7
Total moment, μB per cell: 2.22
Energy, eV per atom: -4.342
Space group: F-43m (216)
Calculated volume, Å³/cell: 86.6

Geometry as CIF:
```
data_YCd2Mo
_cell_length_a 4.967
_cell_length_b 4.967
_cell_length_c 4.967
_cell_angle_alpha 60.00
_cell_angle_beta 60.00
_cell_angle_gamma 60.00
_space_group_name_H-M_alt 'P 1'
_space_group_IT_number 1
_space_group_name_Hall 'P 1'
loop_
_atom_site_label
_atom_site_fract_x
_atom_site_fract_y
_atom_site_fract_z
Cd1 0.250 0.250 0.250
Y1 0.500 0.500 0.500
Cd2 0.000 0.000 0.000
Mo1 0.750 0.750 0.750
```

A plane-wave DFT calculation with GGA-PBE was carried out for an optimized crystal structure of NaTcNO.

## Properties
Total moment, μB per cell: 0.02
ΔE to the lowest computed polymorph, meV per atom: 105.2
Energy, eV per atom: -6.780
Space group: Pca2_1 (29)
Calculated volume, Å³/cell: 222.9

Geometry as CIF:
```
data_NaTcNO
_cell_length_a 4.947
_cell_length_b 5.802
_cell_length_c 7.764
_cell_angle_alpha 90.00
_cell_angle_beta 90.00
_cell_angle_gamma 90.00
_space_group_name_H-M_alt 'P 1'
_space_group_IT_number 1
_space_group_name_Hall 'P 1'
loop_
_atom_site_label
_atom_site_fract_x
_atom_site_fract_y
_atom_site_fract_z
Na1 0.527 0.909 0.349
O1 0.133 0.444 0.047
Na2 0.027 0.091 0.651
O2 0.633 0.056 0.047
N1 0.534 0.987 0.650
Na3 0.527 0.409 0.651
O3 0.133 0.944 0.953
O4 0.633 0.556 0.953
N2 0.534 0.487 0.350
N3 0.034 0.513 0.650
N4 0.034 0.013 0.350
Tc1 0.509 0.364 0.151
Na4 0.027 0.591 0.349
Tc2 0.509 0.864 0.849
Tc3 0.009 0.136 0.151
Tc4 0.009 0.636 0.849
```

Copy entry 1 word for word.
A plane-wave DFT calculation with GGA-PBE was carried out for an optimized crystal structure of HoPH5CO7.

## Properties
Total moment, μB per cell: 0.00
Energy, eV per atom: -6.402
Space group: P-1 (2)
Calculated volume, Å³/cell: 294.6

Geometry as CIF:
```
data_HoPH5CO7
_cell_length_a 6.340
_cell_length_b 6.746
_cell_length_c 7.381
_cell_angle_alpha 110.43
_cell_angle_beta 94.11
_cell_angle_gamma 91.74
_space_group_name_H-M_alt 'P 1'
_space_group_IT_number 1
_space_group_name_Hall 'P 1'
loop_
_atom_site_label
_atom_site_fract_x
_atom_site_fract_y
_atom_site_fract_z
H1 0.167 0.527 0.324
O1 0.822 0.431 0.038
H2 0.528 0.124 0.410
O2 0.848 0.086 0.337
C1 0.058 0.904 0.504
H3 0.288 0.327 0.359
P1 0.662 0.246 0.014
H4 0.408 0.725 0.803
O3 0.950 0.252 0.655
O4 0.794 0.047 0.950
Ho1 0.124 0.225 0.938
O5 0.152 0.914 0.663
O6 0.587 0.801 0.519
C2 0.942 0.096 0.496
H5 0.592 0.275 0.197
P2 0.338 0.754 0.986
O7 0.413 0.199 0.481
H6 0.712 0.673 0.641
H7 0.472 0.876 0.590
O8 0.206 0.953 0.050
O9 0.178 0.569 0.962
O10 0.468 0.229 0.873
O11 0.221 0.384 0.261
Ho2 0.876 0.775 0.062
H8 0.462 0.243 0.620
O12 0.779 0.616 0.739
O13 0.050 0.748 0.345
H9 0.833 0.473 0.676
O14 0.532 0.771 0.127
H10 0.538 0.757 0.380
```

Q: Among the records above, which one has the highest total moment?
A: YCd2Mo

Q: Which of these has the lowest total moment?
A: HoPH5CO7

Repeat the second record exactly.
A plane-wave DFT calculation with GGA-PBE was carried out for an optimized crystal structure of YCd2Mo.

## Properties
DFT formation energy, eV/f.u.: 1.7
Total moment, μB per cell: 2.22
Energy, eV per atom: -4.342
Space group: F-43m (216)
Calculated volume, Å³/cell: 86.6

Geometry as CIF:
```
data_YCd2Mo
_cell_length_a 4.967
_cell_length_b 4.967
_cell_length_c 4.967
_cell_angle_alpha 60.00
_cell_angle_beta 60.00
_cell_angle_gamma 60.00
_space_group_name_H-M_alt 'P 1'
_space_group_IT_number 1
_space_group_name_Hall 'P 1'
loop_
_atom_site_label
_atom_site_fract_x
_atom_site_fract_y
_atom_site_fract_z
Cd1 0.250 0.250 0.250
Y1 0.500 0.500 0.500
Cd2 0.000 0.000 0.000
Mo1 0.750 0.750 0.750
```